Pr6Sb2Rh PBE optimized geometry; space group = No. 14; formation energy (no corrections) = -660 meV/atom; Fermi-level density of states = 21.85 states/eV per cell
1.0
6.513 0.000 0.151
0.000 8.391 0.000
-0.595 0.000 10.526
Pr Sb Rh
12 4 2
direct
0.619 0.477 0.254
0.640 0.176 0.957
0.860 0.676 0.543
0.133 0.320 0.045
0.140 0.324 0.457
0.367 0.820 0.455
0.360 0.824 0.043
0.633 0.180 0.545
0.867 0.680 0.955
0.119 0.023 0.754
0.881 0.977 0.246
0.381 0.523 0.746
0.409 0.115 0.249
0.591 0.885 0.751
0.909 0.385 0.749
0.091 0.615 0.251
0.500 0.500 0.000
0.000 0.000 0.500


PrSb3Rh5 PBE optimized geometry; space group = No. 63; formation energy (no corrections) = -532 meV/atom; Fermi-level density of states = 7.98 states/eV per cell
1.0
-2.475 2.695 -1.726
-2.401 -0.972 6.665
7.777 9.856 4.239
Rh Pr Sb
10 2 6
direct
0.804 0.608 0.068
0.000 0.000 0.500
0.000 0.000 0.000
0.543 0.085 0.854
0.457 0.915 0.146
0.196 0.392 0.568
0.543 0.085 0.646
0.457 0.915 0.354
0.196 0.392 0.932
0.804 0.608 0.432
0.110 0.221 0.250
0.890 0.779 0.750
0.621 0.243 0.462
0.379 0.757 0.538
0.379 0.757 0.962
0.126 0.252 0.750
0.621 0.243 0.038
0.874 0.748 0.250


Pr8SbRh2 PBE optimized geometry; space group = No. 12; formation energy (no corrections) = -378 meV/atom; Fermi-level density of states = 13.21 states/eV per cell
1.0
5.722 -0.066 -0.099
-1.038 8.195 -0.305
-1.038 -3.438 7.445
Rh Pr Sb
2 8 1
direct
0.000 0.292 0.708
0.000 0.708 0.292
0.500 0.245 0.755
0.064 0.330 0.082
0.936 0.670 0.918
0.936 0.918 0.670
0.691 0.393 0.393
0.309 0.607 0.607
0.064 0.082 0.330
0.500 0.755 0.245
0.500 0.000 0.000


Pr3SbRh3 PBE optimized geometry; space group = No. 63; formation energy (no corrections) = -755 meV/atom; Fermi-level density of states = 11.07 states/eV per cell
1.0
4.475 0.000 0.000
-2.238 5.317 0.000
0.000 0.000 13.741
Rh Sb Pr
6 2 6
direct
0.918 0.835 0.594
0.237 0.473 0.250
0.082 0.165 0.094
0.763 0.527 0.750
0.082 0.165 0.406
0.918 0.835 0.906
0.500 0.000 0.000
0.500 0.000 0.500
0.490 0.980 0.750
0.792 0.583 0.105
0.208 0.417 0.895
0.510 0.020 0.250
0.792 0.583 0.395
0.208 0.417 0.605


Pr4SbRh PBE optimized geometry; space group = No. 15; formation energy (no corrections) = -595 meV/atom; Fermi-level density of states = 10.69 states/eV per cell
1.0
-1.617 3.479 4.860
-6.416 0.546 -5.485
0.906 -7.746 3.381
Pr Sb Rh
8 2 2
direct
0.317 0.652 0.860
0.774 0.699 0.625
0.351 0.926 0.625
0.226 0.301 0.375
0.957 0.792 0.140
0.043 0.208 0.860
0.649 0.074 0.375
0.683 0.348 0.140
0.629 0.379 0.758
0.371 0.621 0.242
0.249 0.999 0.998
0.751 0.001 0.002


Pr2SbRh3 PBE optimized geometry; space group = No. 194; formation energy (no corrections) = -770 meV/atom; Fermi-level density of states = 8.71 states/eV per cell
1.0
5.757 0.000 0.000
-2.878 4.986 0.000
0.000 0.000 8.487
Rh Pr Sb
6 4 2
direct
0.654 0.827 0.250
0.173 0.346 0.250
0.346 0.173 0.750
0.173 0.827 0.250
0.827 0.654 0.750
0.827 0.173 0.750
0.667 0.333 0.433
0.667 0.333 0.067
0.333 0.667 0.567
0.333 0.667 0.933
0.000 0.000 0.000
0.000 0.000 0.500


Pr5Sb2Rh PBE optimized geometry; space group = No. 63; formation energy (no corrections) = -547 meV/atom; Fermi-level density of states = 13.66 states/eV per cell
1.0
5.966 0.000 0.000
-2.983 4.988 0.000
0.000 0.000 16.551
Pr Sb Rh
10 4 2
direct
0.421 0.843 0.396
0.247 0.494 0.750
0.914 0.827 0.885
0.579 0.157 0.896
0.086 0.173 0.115
0.753 0.506 0.250
0.421 0.843 0.104
0.914 0.827 0.615
0.086 0.173 0.385
0.579 0.157 0.604
0.757 0.514 0.060
0.757 0.514 0.440
0.243 0.486 0.560
0.243 0.486 0.940
0.725 0.450 0.750
0.275 0.550 0.250


Pr2Sb7Rh12 PBE optimized geometry; space group = No. 147; formation energy (no corrections) = -588 meV/atom; Fermi-level density of states = 17.81 states/eV per cell
1.0
4.125 0.000 0.000
0.000 9.125 -5.268
0.000 0.000 10.537
Rh Sb Pr
12 7 2
direct
0.757 0.264 0.144
0.243 0.736 0.856
0.249 0.621 0.062
0.751 0.379 0.938
0.757 0.880 0.736
0.249 0.442 0.379
0.243 0.144 0.880
0.751 0.558 0.621
0.249 0.938 0.558
0.243 0.120 0.264
0.757 0.856 0.120
0.751 0.062 0.442
0.253 0.888 0.290
0.253 0.710 0.597
0.500 0.000 0.000
0.253 0.403 0.112
0.747 0.290 0.403
0.747 0.112 0.710
0.747 0.597 0.888
0.245 0.333 0.667
0.755 0.667 0.333


Pr12Sb6Rh PBE optimized geometry; space group = No. 148; formation energy (no corrections) = -702 meV/atom; Fermi-level density of states = 18.92 states/eV per cell
1.0
-8.244 1.994 2.735
-1.843 -2.844 -8.242
1.025 -7.865 4.064
Sb Pr Rh
6 12 1
direct
0.124 0.641 0.312
0.312 0.124 0.641
0.876 0.359 0.688
0.688 0.876 0.359
0.641 0.312 0.124
0.359 0.688 0.876
0.443 0.808 0.579
0.579 0.443 0.808
0.192 0.421 0.557
0.056 0.984 0.317
0.317 0.056 0.984
0.984 0.317 0.056
0.016 0.683 0.944
0.808 0.579 0.443
0.683 0.944 0.016
0.421 0.557 0.192
0.944 0.016 0.683
0.557 0.192 0.421
0.000 0.000 0.000


PrSbRh3 PBE optimized geometry; space group = No. 74; formation energy (no corrections) = -537 meV/atom; energy above the lowest structure with this stoichiometry = 24 meV per atom; Fermi-level density of states = 4.21 states/eV per cell
1.0
-2.030 3.246 -5.354
-4.396 -4.837 -0.780
-0.150 1.816 6.325
Rh Sb Pr
6 2 2
direct
0.500 0.299 0.299
0.500 0.701 0.701
0.000 0.299 0.799
0.307 0.057 0.750
0.000 0.701 0.201
0.693 0.943 0.250
0.500 0.000 0.500
0.500 0.500 0.000
0.010 0.260 0.250
0.990 0.740 0.750


Pr3Sb4Rh3 PBE optimized geometry; space group = No. 220; formation energy (no corrections) = -856 meV/atom; Fermi-level density of states = 20.23 states/eV per cell
1.0
-7.463 -3.933 1.636
1.725 -0.511 -8.403
6.284 -3.814 4.451
Rh Pr Sb
6 6 8
direct
0.375 0.250 0.125
0.625 0.875 0.250
0.250 0.375 0.625
0.750 0.125 0.875
0.125 0.750 0.375
0.875 0.625 0.750
0.875 0.250 0.625
0.625 0.750 0.875
0.750 0.625 0.375
0.250 0.875 0.125
0.125 0.375 0.250
0.375 0.125 0.750
0.653 0.153 0.153
0.153 0.653 0.653
0.847 0.500 0.000
0.000 0.000 0.347
0.500 0.347 0.500
0.000 0.000 0.847
0.347 0.500 0.000
0.500 0.847 0.500


PrSb2Rh PBE optimized geometry; space group = No. 166; formation energy (no corrections) = -189 meV/atom; Fermi-level density of states = 2.94 states/eV per cell
1.0
-2.768 -1.896 0.996
0.285 -3.472 0.331
1.854 -0.652 10.060
Sb Rh Pr
2 1 1
direct
0.893 0.893 0.321
0.107 0.107 0.679
0.500 0.500 0.500
0.000 0.000 0.000


Pr8Sb14Rh17 PBE optimized geometry; space group = No. 108; formation energy (no corrections) = -815 meV/atom; Fermi-level density of states = 54.86 states/eV per cell
1.0
13.836 -0.265 0.000
2.889 13.533 0.000
-8.362 -6.634 8.806
Pr Rh Sb
16 34 28
direct
0.906 0.406 0.960
0.673 0.433 0.254
0.173 0.173 0.000
0.946 0.906 0.500
0.418 0.673 0.239
0.173 0.918 0.239
0.406 0.446 0.500
0.918 0.679 0.746
0.446 0.946 0.040
0.933 0.173 0.254
0.673 0.673 0.000
0.673 0.173 0.500
0.173 0.673 0.500
0.433 0.179 0.761
0.179 0.418 0.746
0.679 0.933 0.761
0.378 0.164 0.314
0.684 0.932 0.013
0.678 0.178 0.261
0.564 0.351 0.686
0.664 0.878 0.314
0.764 0.264 0.046
0.417 0.678 0.500
0.178 0.917 0.500
0.718 0.764 0.500
0.437 0.937 0.756
0.669 0.169 0.746
0.851 0.064 0.686
0.681 0.437 0.500
0.169 0.422 0.500
0.501 0.501 0.000
0.184 0.171 0.752
0.264 0.218 0.500
0.351 0.664 0.787
0.181 0.681 0.244
0.932 0.919 0.248
0.064 0.378 0.213
0.419 0.432 0.248
0.917 0.417 0.739
0.001 0.001 0.000
0.218 0.718 0.954
0.164 0.851 0.787
0.171 0.419 0.987
0.432 0.184 0.013
0.422 0.922 0.254
0.937 0.181 0.500
0.919 0.671 0.987
0.671 0.684 0.752
0.878 0.564 0.213
0.922 0.669 0.500
0.874 0.874 0.000
0.374 0.374 0.000
0.629 0.129 0.016
0.115 0.615 0.672
0.484 0.748 0.764
0.948 0.897 0.733
0.484 0.248 0.264
0.612 0.629 0.500
0.943 0.443 0.328
0.875 0.375 0.500
0.215 0.948 0.051
0.129 0.112 0.500
0.984 0.720 0.236
0.615 0.943 0.500
0.375 0.875 0.500
0.984 0.220 0.736
0.397 0.448 0.733
0.112 0.612 0.984
0.748 0.984 0.264
0.720 0.484 0.736
0.448 0.715 0.051
0.248 0.984 0.764
0.220 0.484 0.236
0.715 0.664 0.267
0.164 0.215 0.267
0.664 0.397 0.949
0.897 0.164 0.949
0.443 0.115 0.500


Pr5SbRh2 PBE optimized geometry; space group = No. 140; formation energy (no corrections) = -674 meV/atom; Fermi-level density of states = 15.75 states/eV per cell
1.0
-4.497 2.347 -6.310
4.738 -4.286 -4.971
-4.197 -4.533 6.499
Rh Pr Sb
4 10 2
direct
0.861 0.639 0.000
0.139 0.361 0.000
0.361 0.861 0.000
0.639 0.139 0.000
0.500 0.500 0.000
0.521 0.704 0.725
0.296 0.796 0.275
0.479 0.296 0.275
0.000 0.000 0.000
0.979 0.479 0.275
0.021 0.521 0.725
0.204 0.021 0.725
0.796 0.979 0.275
0.704 0.204 0.725
0.250 0.250 0.500
0.750 0.750 0.500


PrSbRh2 PBE optimized geometry; space group = No. 47; formation energy (no corrections) = -446 meV/atom; Fermi-level density of states = 3.16 states/eV per cell
1.0
4.029 0.000 0.000
0.000 3.917 0.462
0.000 -0.691 5.850
Rh Sb Pr
2 1 1
direct
0.000 0.000 0.230
0.000 0.000 0.770
0.500 0.000 0.500
0.500 0.500 0.000


PrSbRh2 PBE optimized geometry; space group = No. 123; formation energy (no corrections) = -553 meV/atom; Fermi-level density of states = 3.56 states/eV per cell
1.0
3.711 0.000 0.000
0.000 4.640 0.000
0.000 0.000 4.640
Pr Rh Sb
1 2 1
direct
0.500 0.500 0.500
0.000 0.000 0.500
0.000 0.500 0.000
0.500 0.000 0.000


PrSbRh3 PBE optimized geometry; space group = No. 63; formation energy (no corrections) = -561 meV/atom; energy above the lowest structure with this stoichiometry = 0 meV per atom; Fermi-level density of states = 6.38 states/eV per cell
1.0
5.157 0.000 0.000
0.000 5.333 -2.806
0.000 0.246 6.937
Rh Pr Sb
6 2 2
direct
0.750 0.061 0.677
0.000 0.000 0.000
0.750 0.616 0.677
0.500 0.000 0.000
0.250 0.939 0.323
0.250 0.384 0.323
0.250 0.402 0.804
0.750 0.598 0.196
0.750 0.185 0.369
0.250 0.815 0.631